# SbTe2WO, relaxed, DFT GGA+U
data_SbTe2WO
_symmetry_space_group_name_H-M 'P 4/m m m'
_symmetry_Int_Tables_number 123
_symmetry_space_group_name_Hall '-P 4 2'
_cell_length_a 5.213
_cell_length_b 5.213
_cell_length_c 5.325
_cell_angle_alpha 90.00
_cell_angle_beta 90.00
_cell_angle_gamma 90.00
loop_
_atom_site_label
_atom_site_type_symbol
_atom_site_fract_x
_atom_site_fract_y
_atom_site_fract_z
_atom_site_occupancy
Sb1 Sb 0.000 0.000 0.000 1
Te1 Te 0.000 0.500 0.500 1
W1 W 0.000 0.000 0.500 1
O1 O 0.500 0.500 0.000 1
# mass density: 6.618 g cm⁻³
# calculated volume: 28.9 Å³ per atom
# energy relative to the lowest polymorph listed for this composition: 643 meV per atom